(1)
KGeSb3: relaxed, GGA-PBE.

Unit cell a=5.5279 b=5.5279 c=5.5279 alpha=90.00 beta=90.00 gamma=90.00
Closest atoms and distances in Å follow each position.
Positions (direct):
K 0.0000 0.0000 0.0000  12 Sb 3.91
Ge 0.5000 0.5000 0.5000  6 Sb 2.76
Sb 0.0000 0.5000 0.5000  2 Ge 2.76
Sb 0.5000 0.0000 0.5000  2 Ge 2.76
Sb 0.5000 0.5000 0.0000  2 Ge 2.76

* space-group type: Pm-3m
* formation energy from raw total energies: 279 meV per atom
* uncorrected energy: -3.34 eV per atom


(2)
Dy4Bi6O19: relaxed, GGA-PBE.

Unit cell a=8.3840 b=8.3840 c=8.3840 alpha=109.47 beta=109.47 gamma=109.47
Closest atoms and distances in Å follow each position.
Positions (direct):
Dy 0.0000 0.0000 0.2848  4 O 2.21-2.39
Dy 0.0000 0.2848 0.0000  4 O 2.21-2.39
Dy 0.2848 0.0000 0.0000  4 O 2.21-2.39
Dy 0.7152 0.7152 0.7152  4 O 2.21-2.39
Bi 0.1763 0.5000 0.6763  6 O 2.22
Bi 0.3237 0.8237 0.5000  6 O 2.22
Bi 0.5000 0.3237 0.8237  6 O 2.22
Bi 0.5000 0.6763 0.1763  6 O 2.22
Bi 0.6763 0.1763 0.5000  6 O 2.22
Bi 0.8237 0.5000 0.3237  6 O 2.22
O 0.0000 0.0000 0.0000  4 Dy 2.39
O 0.0000 0.3536 0.3536  2 Bi 2.22
O 0.0000 0.6464 0.6464  2 Bi 2.22
O 0.0212 0.7660 0.3404  1 Dy 2.21, 2 Bi 2.22
O 0.2340 0.2552 0.5745  1 Dy 2.21, 2 Bi 2.22
O 0.2552 0.5745 0.2340  1 Dy 2.21, 2 Bi 2.22
O 0.3193 0.7448 0.9788  1 Dy 2.21, 2 Bi 2.22
O 0.3404 0.0212 0.7660  1 Dy 2.21, 2 Bi 2.22
O 0.3536 0.0000 0.3536  2 Bi 2.22
O 0.3536 0.3536 0.0000  2 Bi 2.22
O 0.4255 0.6807 0.6596  1 Dy 2.21, 2 Bi 2.22
O 0.5745 0.2340 0.2552  1 Dy 2.21, 2 Bi 2.22
O 0.6464 0.0000 0.6464  2 Bi 2.22
O 0.6464 0.6464 0.0000  2 Bi 2.22
O 0.6596 0.4255 0.6807  1 Dy 2.21, 2 Bi 2.22
O 0.6807 0.6596 0.4255  1 Dy 2.21, 2 Bi 2.22
O 0.7448 0.9788 0.3193  1 Dy 2.21, 2 Bi 2.22
O 0.7660 0.3404 0.0212  1 Dy 2.21, 2 Bi 2.22
O 0.9788 0.3193 0.7448  1 Dy 2.21, 2 Bi 2.22

* space-group type: I23
* formation energy from raw total energies: -1671 meV per atom
* uncorrected energy: -6.36 eV per atom


(3)
Pr4HgAu3: relaxed, GGA-PBE.

Unit cell a=3.9691 b=4.8762 c=11.4745 alpha=90.00 beta=90.00 gamma=90.00
Closest atoms and distances in Å follow each position.
Positions (direct):
Pr 0.0000 0.0000 0.0000  6 Au 3.18-3.19, 1 Hg 3.26
Pr 0.0000 0.5000 0.2672  7 Au 3.17-3.21
Pr 0.5000 0.0000 0.4875  5 Au 3.11-3.21, 2 Hg 3.29
Pr 0.5000 0.5000 0.7719  3 Au 3.16-3.29, 4 Hg 3.21
Hg 0.0000 0.0000 0.7161  2 Au 3.14, 7 Pr 3.21-3.29
Au 0.0000 0.5000 0.5432  2 Hg 3.14, 7 Pr 3.17-3.29
Au 0.5000 0.0000 0.2167  7 Pr 3.11-3.20, 2 Au 3.12
Au 0.5000 0.5000 0.0473  2 Au 3.12, 7 Pr 3.16-3.21

* space-group type: Pmm2
* energy of formation from the pure elements: -690 meV/atom
* uncorrected energy: -4.35 eV per atom


(4)
ZrCrRe2: relaxed, GGA-PBE.

Unit cell a=2.7594 b=4.4173 c=5.2164 alpha=90.00 beta=99.59 gamma=90.00
Closest atoms and distances in Å follow each position.
Positions (direct):
Zr 0.0000 0.0000 0.0000  2 Cr 2.74, 4 Re 2.76, 2 Zr 2.76
Cr 0.5000 0.0000 0.5000  4 Re 2.67, 2 Zr 2.74, 2 Cr 2.76
Re 0.2572 0.5000 0.7356  4 Re 2.63-2.86, 2 Cr 2.67, 2 Zr 2.76
Re 0.7428 0.5000 0.2644  4 Re 2.63-2.86, 2 Cr 2.67, 2 Zr 2.76

* space-group type: P2/m
* energy of formation from the pure elements: 82 meV/atom
* uncorrected energy: -10.69 eV per atom


(5)
TaNiSeBr2: relaxed, GGA-PBE.

Unit cell a=5.1295 b=5.1295 c=5.0281 alpha=90.00 beta=90.00 gamma=90.00
Closest atoms and distances in Å follow each position.
Positions (direct):
Ta 0.0000 0.0000 0.0000  2 Se 2.51, 4 Br 2.56
Ni 0.5000 0.5000 0.5000  8 Br 3.59, 4 Se 3.63
Se 0.0000 0.0000 0.5000  2 Ta 2.51
Br 0.0000 0.5000 0.0000  2 Ta 2.56
Br 0.5000 0.0000 0.0000  2 Ta 2.56

* space-group type: P4/mmm
* formation energy from raw total energies: 469 meV per atom
* uncorrected energy: -4.42 eV per atom


(6)
La3Si4Pt2: relaxed, GGA-PBE.

Unit cell a=6.0825 b=6.0825 c=8.4566 alpha=98.70 beta=98.70 gamma=40.38
Closest atoms and distances in Å follow each position.
Positions (direct):
La 0.0000 0.0000 0.0000  8 Si 3.23-3.30, 4 Pt 3.23
La 0.3340 0.3340 0.3356  8 Si 3.20-3.34, 4 Pt 3.24-3.31
La 0.6660 0.6660 0.6644  8 Si 3.20-3.34, 4 Pt 3.24-3.31
Si 0.0515 0.0515 0.3866  1 Si 2.41, 2 Pt 2.42
Si 0.2739 0.2739 0.9355  1 Pt 2.42, 2 Si 2.47
Si 0.7261 0.7261 0.0645  1 Pt 2.42, 2 Si 2.47
Si 0.9485 0.9485 0.6134  1 Si 2.41, 2 Pt 2.42
Pt 0.3927 0.3927 0.7235  3 Si 2.42
Pt 0.6073 0.6073 0.2765  3 Si 2.42

* space-group type: C2/m
* formation energy from raw total energies: -1052 meV per atom
* uncorrected energy: -6.45 eV per atom